i | # NaHfMo2 | Alexandria via LeMat-Bulk | PBE | relaxed
# Magnetic moment = 0.000 μB per atom
# V = 19.31 Å³/atom
data_NaHfMo2
_chemical_formula_sum 'Na4 Hf4 Mo8'
_cell_length_a 3.9281
_cell_length_b 3.9281
_cell_length_c 20.0266
_cell_angle_alpha 90.00
_cell_angle_beta 90.00
_cell_angle_gamma 90.00
_symmetry_space_group_name_H-M 'P 1'
_symmetry_Int_Tables_number 1
loop_
_symmetry_equiv_pos_as_xyz
'x,y,z'
loop_
_atom_site_label
_atom_site_fract_x
_atom_site_fract_y
_atom_site_fract_z
Na1 0.0000 0.0000 0.0000
Na2 0.0000 0.5000 0.2500
Na3 0.5000 0.0000 0.7500
Na4 0.5000 0.5000 0.5000
Hf1 0.0000 0.0000 0.5000
Hf2 0.0000 0.5000 0.7500
Hf3 0.5000 0.0000 0.2500
Hf4 0.5000 0.5000 0.0000
Mo1 0.2173 0.2500 0.6250
Mo2 0.2500 0.7173 0.8750
Mo3 0.2500 0.7827 0.3750
Mo4 0.2827 0.2500 0.1250
Mo5 0.7173 0.7500 0.1250
Mo6 0.7500 0.2173 0.3750
Mo7 0.7500 0.2827 0.8750
Mo8 0.7827 0.7500 0.6250



ii | # NaHfMo2 | Alexandria via LeMat-Bulk | PBE | relaxed
# Magnetic moment = 0.233 μB per atom
# V = 18.28 Å³/atom
data_NaHfMo2
_chemical_formula_sum 'Na4 Hf4 Mo8'
_cell_length_a 6.6385
_cell_length_b 6.6385
_cell_length_c 6.6385
_cell_angle_alpha 90.00
_cell_angle_beta 90.00
_cell_angle_gamma 90.00
_symmetry_space_group_name_H-M 'P 1'
_symmetry_Int_Tables_number 1
loop_
_symmetry_equiv_pos_as_xyz
'x,y,z'
loop_
_atom_site_label
_atom_site_fract_x
_atom_site_fract_y
_atom_site_fract_z
Na1 0.0000 0.0000 0.0000
Na2 0.0000 0.5000 0.5000
Na3 0.5000 0.0000 0.5000
Na4 0.5000 0.5000 0.0000
Hf1 0.0000 0.0000 0.5000
Hf2 0.0000 0.5000 0.0000
Hf3 0.5000 0.0000 0.0000
Hf4 0.5000 0.5000 0.5000
Mo1 0.2500 0.2500 0.2500
Mo2 0.2500 0.2500 0.7500
Mo3 0.2500 0.7500 0.2500
Mo4 0.2500 0.7500 0.7500
Mo5 0.7500 0.2500 0.2500
Mo6 0.7500 0.2500 0.7500
Mo7 0.7500 0.7500 0.2500
Mo8 0.7500 0.7500 0.7500



Top of the stability list: ii, leading by 104 meV/atom.



i | # Na2HfMo2 | Alexandria via LeMat-Bulk | PBE | relaxed
# Magnetic moment = 0.496 μB per atom
# V = 19.92 Å³/atom
data_Na2HfMo2
_chemical_formula_sum 'Na4 Hf2 Mo4'
_cell_length_a 8.6804
_cell_length_b 8.6804
_cell_length_c 2.6433
_cell_angle_alpha 90.00
_cell_angle_beta 90.00
_cell_angle_gamma 90.00
_symmetry_space_group_name_H-M 'P 1'
_symmetry_Int_Tables_number 1
loop_
_symmetry_equiv_pos_as_xyz
'x,y,z'
loop_
_atom_site_label
_atom_site_fract_x
_atom_site_fract_y
_atom_site_fract_z
Na1 0.1060 0.3940 0.0000
Na2 0.3940 0.8940 0.0000
Na3 0.6060 0.1060 0.0000
Na4 0.8940 0.6060 0.0000
Hf1 0.0000 0.0000 0.0000
Hf2 0.5000 0.5000 0.0000
Mo1 0.1945 0.6945 0.5000
Mo2 0.3055 0.1945 0.5000
Mo3 0.6945 0.8055 0.5000
Mo4 0.8055 0.3055 0.5000



ii | # Na2HfMo2 | Alexandria via LeMat-Bulk | PBE | relaxed
# Magnetic moment = 0.160 μB per atom
# V = 26.75 Å³/atom
data_Na2HfMo2
_chemical_formula_sum 'Na4 Hf2 Mo4'
_cell_length_a 3.4278
_cell_length_b 3.4278
_cell_length_c 22.7642
_cell_angle_alpha 90.00
_cell_angle_beta 90.00
_cell_angle_gamma 90.00
_symmetry_space_group_name_H-M 'P 1'
_symmetry_Int_Tables_number 1
loop_
_symmetry_equiv_pos_as_xyz
'x,y,z'
loop_
_atom_site_label
_atom_site_fract_x
_atom_site_fract_y
_atom_site_fract_z
Na1 0.0000 0.0000 0.1199
Na2 0.0000 0.0000 0.8801
Na3 0.5000 0.5000 0.3801
Na4 0.5000 0.5000 0.6199
Hf1 0.0000 0.0000 0.5000
Hf2 0.5000 0.5000 0.0000
Mo1 0.0000 0.5000 0.2500
Mo2 0.0000 0.5000 0.7500
Mo3 0.5000 0.0000 0.2500
Mo4 0.5000 0.0000 0.7500



Top of the stability list: ii, leading by 158 meV/atom.



i | # NaHf2TaMo | Alexandria via LeMat-Bulk | PBE | relaxed
# Magnetic moment = 0.700 μB per atom
# V = 26.72 Å³/atom
data_NaHf2TaMo
_chemical_formula_sum 'Na1 Hf2 Ta1 Mo1'
_cell_length_a 5.0319
_cell_length_b 5.0319
_cell_length_c 5.2773
_cell_angle_alpha 90.00
_cell_angle_beta 90.00
_cell_angle_gamma 90.00
_symmetry_space_group_name_H-M 'P 1'
_symmetry_Int_Tables_number 1
loop_
_symmetry_equiv_pos_as_xyz
'x,y,z'
loop_
_atom_site_label
_atom_site_fract_x
_atom_site_fract_y
_atom_site_fract_z
Na1 0.0000 0.0000 0.0000
Hf1 0.0000 0.5000 0.5000
Hf2 0.5000 0.0000 0.5000
Ta1 0.0000 0.0000 0.5000
Mo1 0.5000 0.5000 0.0000



ii | # NaHf2TaMo | Alexandria via LeMat-Bulk | PBE | relaxed
# Magnetic moment = 0.000 μB per atom
# V = 26.27 Å³/atom
data_NaHf2TaMo
_chemical_formula_sum 'Na1 Hf2 Ta1 Mo1'
_cell_length_a 5.2558
_cell_length_b 5.2558
_cell_length_c 4.7559
_cell_angle_alpha 90.00
_cell_angle_beta 90.00
_cell_angle_gamma 90.00
_symmetry_space_group_name_H-M 'P 1'
_symmetry_Int_Tables_number 1
loop_
_symmetry_equiv_pos_as_xyz
'x,y,z'
loop_
_atom_site_label
_atom_site_fract_x
_atom_site_fract_y
_atom_site_fract_z
Na1 0.0000 0.0000 0.0000
Hf1 0.0000 0.5000 0.5000
Hf2 0.5000 0.0000 0.5000
Ta1 0.5000 0.5000 0.5000
Mo1 0.5000 0.5000 0.0000



Top of the stability list: ii, leading by 586 meV/atom.



i | # Hf2NbMo | Alexandria via LeMat-Bulk | PBE | relaxed
# Magnetic moment = 0.000 μB per atom
# V = 20.15 Å³/atom
data_Hf2NbMo
_chemical_formula_sum 'Hf8 Nb4 Mo4'
_cell_length_a 7.4532
_cell_length_b 7.4532
_cell_length_c 5.8033
_cell_angle_alpha 90.00
_cell_angle_beta 90.00
_cell_angle_gamma 90.00
_symmetry_space_group_name_H-M 'P 1'
_symmetry_Int_Tables_number 1
loop_
_symmetry_equiv_pos_as_xyz
'x,y,z'
loop_
_atom_site_label
_atom_site_fract_x
_atom_site_fract_y
_atom_site_fract_z
Hf1 0.2365 0.2500 0.1250
Hf2 0.2500 0.7365 0.3750
Hf3 0.2500 0.7635 0.8750
Hf4 0.2635 0.2500 0.6250
Hf5 0.7365 0.7500 0.6250
Hf6 0.7500 0.2365 0.8750
Hf7 0.7500 0.2635 0.3750
Hf8 0.7635 0.7500 0.1250
Nb1 0.0000 0.0000 0.5000
Nb2 0.0000 0.5000 0.7500
Nb3 0.5000 0.0000 0.2500
Nb4 0.5000 0.5000 0.0000
Mo1 0.0000 0.0000 0.0000
Mo2 0.0000 0.5000 0.2500
Mo3 0.5000 0.0000 0.7500
Mo4 0.5000 0.5000 0.5000



ii | # Hf2NbMo | Alexandria via LeMat-Bulk | PBE | relaxed
# Magnetic moment = 0.000 μB per atom
# V = 19.10 Å³/atom
data_Hf2NbMo
_chemical_formula_sum 'Hf2 Nb1 Mo1'
_cell_length_a 4.7555
_cell_length_b 4.7555
_cell_length_c 3.3785
_cell_angle_alpha 90.00
_cell_angle_beta 90.00
_cell_angle_gamma 90.00
_symmetry_space_group_name_H-M 'P 1'
_symmetry_Int_Tables_number 1
loop_
_symmetry_equiv_pos_as_xyz
'x,y,z'
loop_
_atom_site_label
_atom_site_fract_x
_atom_site_fract_y
_atom_site_fract_z
Hf1 0.0000 0.5000 0.0000
Hf2 0.5000 0.0000 0.0000
Nb1 0.0000 0.0000 0.5000
Mo1 0.5000 0.5000 0.5000



Top of the stability list: ii, leading by 538 meV/atom.